DFT (PBE) results for a relaxed LaCo2Te crystal.

Cell and atoms, written as POSCAR:
```
LaCo2Te
1.0
-1.938 0.561 -2.752
0.846 -3.073 -1.220
-5.400 -2.772 3.238
Co La Te
2 1 1
direct
0.000 0.000 0.040 Co
0.500 0.500 0.185 Co
0.000 0.000 0.455 La
0.500 0.500 0.819 Te
```

E_form (uncorrected) (eV per atom): 0.040
SG: P4mm, No. 99
D(E_F) (states/eV per cell): 5.60
Crystal system: tetragonal